9
Lattice="3.626 0.000 0.000 -1.813 9.286 1.581 0.000 -1.516 8.762" Properties=species:S:1:pos:R:3 comment="Tb2Pm2Nd4Tm, optimized geometry, DFT PBE" mass_density_g_cm3=7.400 crystal_system=monoclinic sg="No. 12" formation_energy_ev_per_atom=0.02 e_tot_ev_per_atom=-4.68 pbc="T T T"
Tb 1.813 6.729 4.150
Tb 0.000 1.042 6.193
Pm 0.000 6.224 1.069
Pm 1.813 1.547 9.274
Nd 1.813 4.136 6.734
Nd 0.000 3.635 3.609
Nd 1.813 0.506 3.077
Nd 0.000 7.264 7.266
Tm 0.000 0.000 0.000